{"formula": "Dy9Y4In11", "functional": "PBE", "state": "relaxed", "dft_energy_ev_per_atom": -4.46, "sg": "No. 65", "ef_mev_per_atom": -404, "dos_at_fermi_per_ev_cell": 18.64, "lattice_angstrom": [[7.962, -11.644, 0.000], [7.962, 11.644, 0.000], [0.000, 0.000, 3.497]], "species": ["Dy", "Dy", "Dy", "Dy", "Dy", "Dy", "Dy", "Dy", "Dy", "Y", "Y", "Y", "Y", "In", "In", "In", "In", "In", "In", "In", "In", "In", "In", "In"], "fractional_positions": [[0.000, 0.000, 0.000], [0.113, 0.664, 0.000], [0.297, 0.487, 0.000], [0.336, 0.887, 0.000], [0.487, 0.297, 0.000], [0.513, 0.703, 0.000], [0.664, 0.113, 0.000], [0.703, 0.513, 0.000], [0.887, 0.336, 0.000], [0.090, 0.254, 0.000], [0.254, 0.090, 0.000], [0.746, 0.910, 0.000], [0.910, 0.746, 0.000], [0.090, 0.457, 0.500], [0.121, 0.879, 0.500], [0.294, 0.294, 0.500], [0.313, 0.687, 0.500], [0.457, 0.090, 0.500], [0.500, 0.500, 0.500], [0.543, 0.910, 0.500], [0.687, 0.313, 0.500], [0.706, 0.706, 0.500], [0.879, 0.121, 0.500], [0.910, 0.543, 0.500]]}